1.
Density functional theory data (PBE) for Be2PI after structural relaxation.

formation energy without anion corrections: -0.246 eV per atom
E: -3.849 eV/atom

a b c (Å): 6.588 6.588 6.588
angles (deg): 131.28 131.28 71.37
Fractional coordinates of all 8 atoms:
Be: 0.047 0.625 0.922
Be: 0.375 0.297 0.422
Be: 0.703 0.125 0.078
Be: 0.875 0.953 0.578
P: 0.000 0.000 0.000
P: 0.750 0.250 0.500
I: 0.250 0.750 0.500
I: 0.500 0.500 0.000

***

2.
Density functional theory data (PBE) for ZnAg2Au2 after structural relaxation.

formation enthalpy at 0 K: -0.0867 eV/atom
E: -2.793 eV/atom

a b c (Å): 5.661 5.661 7.269
angles (deg): 109.98 109.98 53.64
Fractional coordinates of all 10 atoms:
Zn: 0.153 0.847 0.750
Zn: 0.847 0.153 0.250
Ag: 0.245 0.555 0.048
Ag: 0.445 0.755 0.452
Ag: 0.555 0.245 0.548
Ag: 0.755 0.445 0.952
Au: 0.039 0.343 0.642
Au: 0.343 0.039 0.142
Au: 0.657 0.961 0.858
Au: 0.961 0.657 0.358